# 1
Here is a relaxed structure of Na2CaTl2Pb2 from Alexandria. Energies are from PBE-GGA.

Values from the calculation:
The density comes out at 7.30 g cm⁻³. As for the total magnetization: 0.00 μB per formula unit. The value obtained for the density of states at the Fermi level is 0.64 states/eV per atom. The total energy is -2.60 eV per atom. As for the formation enthalpy at 0 K: -0.1974 eV/atom.

Cell: 8.8632 8.8632 8.8632 Å, 35.21 35.21 35.21°
With the nearest neighbours (Å) after each atom.
Element x y z (fractional)
1 Na 0.1461 0.1461 0.1461  3 Na 3.26, 3 Pb 3.36, 1 Tl 3.45, 1 Ca 3.64
2 Na 0.8539 0.8539 0.8539  3 Na 3.26, 3 Pb 3.36, 1 Tl 3.45, 1 Ca 3.64
3 Ca 0.0000 0.0000 0.0000  6 Tl 3.33, 2 Na 3.64
4 Tl 0.2845 0.2845 0.2845  4 Pb 3.29-3.55, 3 Ca 3.33, 1 Na 3.45
5 Tl 0.7155 0.7155 0.7155  4 Pb 3.29-3.55, 3 Ca 3.33, 1 Na 3.45
6 Pb 0.4271 0.4271 0.4271  4 Tl 3.29-3.55, 3 Na 3.36, 1 Pb 3.63
7 Pb 0.5729 0.5729 0.5729  4 Tl 3.29-3.55, 3 Na 3.36, 1 Pb 3.63


# 2
Here is a relaxed structure of HSeF from Alexandria. Energies are from PBE-GGA.

Values from the calculation:
The density comes out at 3.02 g cm⁻³. As for the total magnetization: 0.00 μB per formula unit. Its excess energy over the best structure of this formula in the dataset is 0 meV/atom. The value obtained for the density of states at the Fermi level is 0.01 states/eV per atom. The total energy is -3.91 eV per atom.

Cell: 3.6490 3.8008 7.8956 Å, 87.36 85.15 88.80°
With the nearest neighbours (Å) after each atom.
Element x y z (fractional)
1 H 0.0000 0.0000 0.0000  1 F 1.04
2 H 0.0447 0.4986 0.0079  1 F 1.04
3 Se 0.2537 0.1881 0.4569  1 Se 2.38
4 Se 0.8076 0.7580 0.5519  1 Se 2.38
5 F 0.1924 0.7171 0.0339  1 H 1.04
6 F 0.8521 0.2294 0.9741  1 H 1.04


# 3
Here is a relaxed structure of HoGe2S6 from Alexandria. Energies are from PBE-GGA.

Values from the calculation:
The density comes out at 3.80 g cm⁻³. As for the total magnetization: 0.37 μB per formula unit. The uncorrected formation energy is -0.61 eV per atom. The value obtained for the density of states at the Fermi level is 0.71 states/eV per atom. The total energy is -4.90 eV per atom.

Cell: 8.3760 8.3760 6.3349 Å, 96.08 96.08 87.78°
With the nearest neighbours (Å) after each atom.
Element x y z (fractional)
1 Ho 0.1169 0.8831 0.7500  6 S 2.69-2.79
2 Ho 0.8831 0.1169 0.2500  6 S 2.69-2.79
3 Ge 0.2254 0.3753 0.6908  4 S 2.21-2.27
4 Ge 0.3753 0.2254 0.1908  4 S 2.21-2.27
5 Ge 0.6247 0.7746 0.8092  4 S 2.21-2.27
6 Ge 0.7746 0.6247 0.3092  4 S 2.21-2.27
7 S 0.0321 0.1937 0.6512  1 Ge 2.24
8 S 0.1398 0.5891 0.8879  1 Ge 2.21
9 S 0.1937 0.0321 0.1512  1 Ge 2.24
10 S 0.2814 0.4513 0.3752  2 Ge 2.26-2.27
11 S 0.4109 0.8602 0.6121  1 Ge 2.21
12 S 0.4513 0.2814 0.8752  2 Ge 2.26-2.27
13 S 0.5487 0.7186 0.1248  2 Ge 2.26-2.27
14 S 0.5891 0.1398 0.3879  1 Ge 2.21
15 S 0.7186 0.5487 0.6248  2 Ge 2.26-2.27
16 S 0.8063 0.9679 0.8488  1 Ge 2.24
17 S 0.8602 0.4109 0.1121  1 Ge 2.21
18 S 0.9679 0.8063 0.3488  1 Ge 2.24